Record 1
Entry from Alexandria: an optimized crystal structure of YFeOs2 (PBE).

Properties
As for the crystal system: monoclinic. The value obtained for the total energy is -36.32 eV per formula unit. The calculation puts the calculated density at 13.6 g/cm³. For the volume, the calculation gives 16.03 Å³/atom. Its space-group type is C2/m. The formation energy is 267 meV per atom.

Unit cell a=5.4832 b=5.4832 c=4.5886 alpha=67.94 beta=67.94 gamma=30.29
Site moments in Bohr magnetons follow the coordinates.
Fractional positions:
Os (0.5328, 0.5328, 0.4603)  0.05
Os (0.9672, 0.9672, 0.0397)  0.05
Y (0.7500, 0.7500, 0.7500)  -0.17
Fe (0.2500, 0.2500, 0.2500)  1.64



Record 2
Entry from Alexandria: an optimized crystal structure of SrTl2Zn2 (PBE).

Properties
As for the crystal system: tetragonal. The value obtained for the total energy is -9.31 eV per formula unit. The calculation puts the calculated density at 7.8 g/cm³. For the volume, the calculation gives 26.69 Å³/atom. Its space-group type is P4/mbm. The formation energy is -70 meV per atom.

Unit cell a=8.0904 b=8.0904 c=4.0771 alpha=90.00 beta=90.00 gamma=90.00
Fractional positions:
Tl (0.3153, 0.1847, 0.5000)
Tl (0.1847, 0.6847, 0.5000)
Tl (0.8153, 0.3153, 0.5000)
Tl (0.6847, 0.8153, 0.5000)
Zn (0.1120, 0.3880, 0.0000)
Zn (0.8880, 0.6120, 0.0000)
Zn (0.3880, 0.8880, 0.0000)
Zn (0.6120, 0.1120, 0.0000)
Sr (0.0000, 0.0000, 0.0000)
Sr (0.5000, 0.5000, 0.0000)



Record 3
Entry from Alexandria: an optimized crystal structure of Ho2PtO (PBE).

Properties
As for the crystal system: monoclinic. The value obtained for the total energy is -28.08 eV per formula unit. The calculation puts the calculated density at 10.9 g/cm³. For the volume, the calculation gives 20.52 Å³/atom. Its space-group type is P2/c.

Unit cell a=5.7764 b=5.8123 c=9.8402 alpha=96.33 beta=90.00 gamma=90.00
Fractional positions:
Ho (0.2011, 0.9661, 0.6471)
Ho (0.7989, 0.4661, 0.1471)
Ho (0.2386, 0.0489, 0.0942)
Ho (0.2011, 0.5339, 0.8529)
Ho (0.2386, 0.4511, 0.4058)
Ho (0.7614, 0.9511, 0.9058)
Ho (0.7989, 0.0339, 0.3529)
Ho (0.7614, 0.5489, 0.5942)
O (0.8593, 0.4134, 0.3765)
O (0.8593, 0.0866, 0.1235)
O (0.1407, 0.9134, 0.8765)
O (0.1407, 0.5866, 0.6235)
Pt (0.3078, 0.9462, 0.3632)
Pt (0.3078, 0.5538, 0.1368)
Pt (0.6922, 0.4462, 0.8632)
Pt (0.6922, 0.0538, 0.6368)



| no. | DOS(E_F) (states/eV/atom) | energy above the lowest structure with this stoichiometry (eV/atom) |
| --- | --- | --- |
| 1 | 1.027 | 0.035 |
| 2 | 0.667 | 0.114 |
| 3 | 0.546 | 0.000 |